Computed, not measured: a relaxed LiCrPbI2 crystal at the PBE level of DFT.

a = 5.476 Å, b = 5.476 Å, c = 5.552 Å
α = 90.00°, β = 90.00°, γ = 90.00°
Sites, in units of the cell vectors:
Li: 0.000 0.000 0.000
Cr: 0.000 0.000 0.500
Pb: 0.500 0.500 0.000
I: 0.000 0.500 0.500
I: 0.500 0.000 0.500

Its crystal system is tetragonal. The total magnetic moment comes out at 4.28 μB per formula unit. The calculation puts the raw formation energy at 0.2970 eV/atom.


Computed, not measured: a relaxed Rb2LiCrI6 crystal at the PBE level of DFT.

a = 7.802 Å, b = 7.808 Å, c = 8.369 Å
α = 62.20°, β = 62.35°, γ = 89.96°
Sites, in units of the cell vectors:
Rb: 0.000 0.000 0.000
Rb: 0.498 0.498 0.000
Li: 0.297 0.797 0.404
Cr: 0.753 0.253 0.493
I: 0.051 0.061 0.501
I: 0.446 0.435 0.504
I: 0.528 0.025 0.947
I: 0.561 0.947 0.501
I: 0.935 0.549 0.503
I: 0.968 0.471 0.060

Its crystal system is triclinic. The total magnetic moment comes out at 2.92 μB per formula unit. The calculation puts the raw formation energy at -0.9581 eV/atom.


Computed, not measured: a relaxed LiCrRh2I crystal at the PBE level of DFT.

a = 4.897 Å, b = 4.897 Å, c = 4.670 Å
α = 90.00°, β = 90.00°, γ = 90.00°
Sites, in units of the cell vectors:
Li: 0.000 0.000 0.000
Cr: 0.500 0.500 0.000
Rh: 0.000 0.500 0.500
Rh: 0.500 0.000 0.500
I: 0.000 0.000 0.500

Its crystal system is tetragonal. The total magnetic moment comes out at 4.43 μB per formula unit. The calculation puts the raw formation energy at 0.9003 eV/atom.


Computed, not measured: a relaxed LiCrSb2I crystal at the PBE level of DFT.

a = 5.013 Å, b = 5.013 Å, c = 6.242 Å
α = 90.00°, β = 90.00°, γ = 90.00°
Sites, in units of the cell vectors:
Li: 0.000 0.000 0.000
Cr: 0.500 0.500 0.500
Sb: 0.000 0.500 0.500
Sb: 0.500 0.000 0.500
I: 0.500 0.500 0.000

The excess energy over the best structure of this formula in the dataset comes out at 0.00 eV per formula unit. Its crystal system is tetragonal. The total magnetic moment comes out at 1.77 μB per formula unit. The calculation puts the raw formation energy at 0.1400 eV/atom.


Computed, not measured: a relaxed Li2CrSnI crystal at the PBE level of DFT.

a = 4.952 Å, b = 4.952 Å, c = 5.443 Å
α = 90.00°, β = 90.00°, γ = 90.00°
Sites, in units of the cell vectors:
Li: 0.000 0.500 0.000
Li: 0.500 0.000 0.000
Cr: 0.000 0.000 0.500
Sn: 0.500 0.500 0.500
I: 0.000 0.000 0.000

Its crystal system is tetragonal. The total magnetic moment comes out at 3.60 μB per formula unit. The calculation puts the raw formation energy at 0.2454 eV/atom.


Computed, not measured: a relaxed LiCrTeI2 crystal at the PBE level of DFT.

a = 5.754 Å, b = 5.754 Å, c = 5.213 Å
α = 90.00°, β = 90.00°, γ = 90.00°
Sites, in units of the cell vectors:
Li: 0.000 0.000 0.000
Cr: 0.500 0.500 0.500
Te: 0.500 0.500 0.000
I: 0.000 0.500 0.500
I: 0.500 0.000 0.500

The excess energy over the best structure of this formula in the dataset comes out at 0.00 eV per formula unit. Its crystal system is tetragonal. The total magnetic moment comes out at 3.00 μB per formula unit. The calculation puts the raw formation energy at -0.1971 eV/atom.